[1]
LiSc2TiV after structural relaxation. Source: the Alexandria database, functional PBE.

The spin magnetization comes out at 1.0 μB/f.u. For the formation energy, the calculation gives 0.58 eV/atom. The electronic total energy comes out at -5.740 eV per atom. The value obtained for the calculated volume is 116.8 Å³/f.u.

The space group is P4/mmm (No. 123) and the conventional cell measures 5.100, 5.100 and 4.489 Å, with angles of 90.00, 90.00 and 90.00 degrees. The inequivalent atoms are Li at (0.000, 0.000, 0.000), Sc at (0.000, 0.500, 0.500), Ti at (0.500, 0.500, 0.000) and V at (0.500, 0.500, 0.500).

[2]
MgVNiPt2 after structural relaxation. Source: the Alexandria database, functional PBE.

The spin magnetization comes out at 2.1 μB/f.u. For the formation energy, the calculation gives 0.37 eV/atom. The electronic total energy comes out at -5.341 eV per atom. The value obtained for the calculated volume is 91.6 Å³/f.u.

The space group is P4/mmm (No. 123) and the conventional cell measures 4.724, 4.724 and 4.104 Å, with angles of 90.00, 90.00 and 90.00 degrees. The inequivalent atoms are Mg at (0.000, 0.000, 0.000), V at (0.500, 0.500, 0.000), Ni at (0.500, 0.500, 0.500) and Pt at (0.000, 0.500, 0.500).

[3]
HfCrRh2W after structural relaxation. Source: the Alexandria database, functional PBE.

The spin magnetization comes out at 0.1 μB/f.u. For the formation energy, the calculation gives 1.56 eV/atom. The electronic total energy comes out at -7.885 eV per atom. The value obtained for the calculated volume is 107.6 Å³/f.u.

The space group is P4/mmm (No. 123) and the conventional cell measures 4.637, 4.637 and 5.005 Å, with angles of 90.00, 90.00 and 90.00 degrees. The inequivalent atoms are Hf at (0.000, 0.000, 0.000), Cr at (0.500, 0.500, 0.000), Rh at (0.000, 0.500, 0.500) and W at (0.000, 0.000, 0.500).

Q: Among the records above, which one has the lowest electronic total energy?
A: HfCrRh2W

Copy entry 2 word for word.
MgVNiPt2 after structural relaxation. Source: the Alexandria database, functional PBE.

The spin magnetization comes out at 2.1 μB/f.u. For the formation energy, the calculation gives 0.37 eV/atom. The electronic total energy comes out at -5.341 eV per atom. The value obtained for the calculated volume is 91.6 Å³/f.u.

The space group is P4/mmm (No. 123) and the conventional cell measures 4.724, 4.724 and 4.104 Å, with angles of 90.00, 90.00 and 90.00 degrees. The inequivalent atoms are Mg at (0.000, 0.000, 0.000), V at (0.500, 0.500, 0.000), Ni at (0.500, 0.500, 0.500) and Pt at (0.000, 0.500, 0.500).

Q: Look up the electronic total energy of the third one.
A: -7.885 eV per atom

Q: Look up the electronic total energy of the first one.
A: -5.740 eV per atom